An optimized crystal structure of KCrCO5. Source: Alexandria via LeMat-Bulk, functional PBE with a Hubbard U.

Output
- space group = C2/c (15)
- DFT total energy (eV/atom) = -6.471
- density of states at the Fermi level (states/eV/cell) = 0.62
- V (Å³/cell) = 182.7
- magnetic moment (μB/atom) = 0.377
- theoretical density (Mg/m³) = 3.33

Unit cell a=5.565 b=5.565 c=6.955 alpha=106.45 beta=106.45 gamma=106.02
Last column: magnetic moment on the atom in μB.
Element x y z (fractional)
K: 0.338 0.662 0.250  0.00
K: 0.662 0.338 0.750  0.00
Cr: 0.000 0.000 0.500  2.42
Cr: 0.000 0.000 0.000  2.42
C: 0.710 0.290 0.250  -0.01
C: 0.290 0.710 0.750  -0.01
O: 0.056 0.944 0.250  -0.29
O: 0.944 0.056 0.750  -0.29
O: 0.868 0.283 0.129  0.04
O: 0.132 0.717 0.871  0.04
O: 0.717 0.132 0.371  0.04
O: 0.283 0.868 0.629  0.04
O: 0.768 0.562 0.388  0.33
O: 0.232 0.438 0.612  0.33
O: 0.438 0.232 0.112  0.33
O: 0.562 0.768 0.888  0.33